# 1
ErCuPd4 after structural relaxation. Source: Alexandria via LeMat-Bulk, functional PBE-GGA. Values from VASP.

```
&SYSTEM
  ibrav = 0, nat = 6, ntyp = 3
/
ATOMIC_SPECIES
Er 167.26 Er.upf
Cu 63.55 Cu.upf
Pd 106.42 Pd.upf
CELL_PARAMETERS angstrom
0.000 3.736 3.736
3.736 0.000 3.736
3.736 3.736 0.000
ATOMIC_POSITIONS angstrom
Er 0.000 0.000 0.000
Cu 5.604 5.604 5.604
Pd 2.805 2.805 2.805
Pd 4.667 4.667 2.805
Pd 4.667 2.805 4.667
Pd 2.805 4.667 4.667
```

Summary:
As for the energy above the most stable polymorph in this dataset: 4.0 kJ per mole of atoms. The energy of formation is -0.436 eV per atom. The total magnetization is 0.00 Bohr magnetons per cell. As for the volume: 17.38 Å³/atom.

---

# 2
HfTi2HS after structural relaxation. Source: Alexandria via LeMat-Bulk, functional PBE-GGA. Values from VASP.

```
&SYSTEM
  ibrav = 0, nat = 10, ntyp = 4
/
ATOMIC_SPECIES
Hf 178.49 Hf.upf
Ti 47.87 Ti.upf
H 1.01 H.upf
S 32.06 S.upf
CELL_PARAMETERS angstrom
5.998 0.000 0.000
0.000 3.357 0.000
-0.981 0.000 6.879
ATOMIC_POSITIONS angstrom
Hf 1.401 0.839 0.308
Hf 3.615 2.517 6.572
Ti 0.320 2.517 2.653
Ti 1.834 0.839 4.402
Ti 3.182 2.517 2.477
Ti 4.697 0.839 4.226
H 1.671 2.517 1.354
H 3.345 0.839 5.526
S 0.170 2.517 5.211
S 4.846 0.839 1.668
```

Summary:
The value obtained for the total energy is -7.34 eV/atom. The total magnetization is 0.00 Bohr magnetons per cell. As for the volume: 13.85 Å³/atom.

---

# 3
Ce2TiAu after structural relaxation. Source: Alexandria via LeMat-Bulk, functional PBE-GGA. Values from VASP.

```
&SYSTEM
  ibrav = 0, nat = 4, ntyp = 3
/
ATOMIC_SPECIES
Ce 140.12 Ce.upf
Ti 47.87 Ti.upf
Au 196.97 Au.upf
CELL_PARAMETERS angstrom
1.506 0.869 10.954
-1.506 0.869 10.954
0.000 -1.738 10.954
ATOMIC_POSITIONS angstrom
Ce 0.000 0.000 2.740
Ce 0.000 0.000 30.121
Ti 0.000 0.000 0.000
Au 0.000 0.000 16.430
```

Summary:
As for the energy above the most stable polymorph in this dataset: 18.8 kJ per mole of atoms. The energy of formation is 0.066 eV per atom. The total magnetization is 0.53 Bohr magnetons per cell. As for the volume: 21.50 Å³/atom.

---

# 4
TmCu4Os after structural relaxation. Source: Alexandria via LeMat-Bulk, functional PBE-GGA. Values from VASP.

```
&SYSTEM
  ibrav = 0, nat = 6, ntyp = 3
/
ATOMIC_SPECIES
Tm 168.93 Tm.upf
Cu 63.55 Cu.upf
Os 190.23 Os.upf
CELL_PARAMETERS angstrom
0.000 3.491 3.491
3.491 0.000 3.491
3.491 3.491 0.000
ATOMIC_POSITIONS angstrom
Tm 0.000 0.000 0.000
Cu 2.625 2.625 2.625
Cu 4.357 4.357 2.625
Cu 4.357 2.625 4.357
Cu 2.625 4.357 4.357
Os 5.237 5.237 5.237
```

Summary:
The energy of formation is -0.007 eV per atom. The total magnetization is 0.00 Bohr magnetons per cell. As for the volume: 14.18 Å³/atom.

---

# 5
ZrH2Ir2 after structural relaxation. Source: Alexandria via LeMat-Bulk, functional PBE-GGA. Values from VASP.

```
&SYSTEM
  ibrav = 0, nat = 5, ntyp = 3
/
ATOMIC_SPECIES
Zr 91.22 Zr.upf
H 1.01 H.upf
Ir 192.22 Ir.upf
CELL_PARAMETERS angstrom
-1.794 1.794 4.407
1.794 -1.794 4.407
1.794 1.794 -4.407
ATOMIC_POSITIONS angstrom
Zr 0.000 0.000 0.000
H 1.794 0.000 2.204
H 0.000 1.794 2.204
Ir 0.000 0.000 3.047
Ir 0.000 0.000 5.768
```

Summary:
As for the energy above the most stable polymorph in this dataset: 1.7 kJ per mole of atoms. The total magnetization is 0.00 Bohr magnetons per cell. As for the volume: 11.35 Å³/atom.

---

# 6
ZrAg2Os after structural relaxation. Source: Alexandria via LeMat-Bulk, functional PBE-GGA. Values from VASP.

```
&SYSTEM
  ibrav = 0, nat = 4, ntyp = 3
/
ATOMIC_SPECIES
Zr 91.22 Zr.upf
Ag 107.87 Ag.upf
Os 190.23 Os.upf
CELL_PARAMETERS angstrom
3.641 0.000 0.000
0.000 3.641 0.000
0.000 0.000 5.449
ATOMIC_POSITIONS angstrom
Zr 0.000 0.000 0.000
Ag 1.820 1.820 1.387
Ag 1.820 1.820 4.062
Os 0.000 0.000 2.724
```

Summary:
As for the energy above the most stable polymorph in this dataset: 34.7 kJ per mole of atoms. The energy of formation is 0.433 eV per atom. The total magnetization is 0.00 Bohr magnetons per cell. As for the volume: 18.06 Å³/atom.

---

# 7
BeCrIn2 after structural relaxation. Source: Alexandria via LeMat-Bulk, functional PBE-GGA. Values from VASP.

```
&SYSTEM
  ibrav = 0, nat = 4, ntyp = 3
/
ATOMIC_SPECIES
Be 9.01 Be.upf
Cr 52.00 Cr.upf
In 114.82 In.upf
CELL_PARAMETERS angstrom
-2.078 2.078 4.053
2.078 -2.078 4.053
2.078 2.078 -4.053
ATOMIC_POSITIONS angstrom
Be 0.000 0.000 0.000
Cr 0.000 0.000 4.053
In 2.078 0.000 2.026
In 0.000 2.078 2.026
```

Summary:
The energy of formation is 0.468 eV per atom. The total magnetization is 3.06 Bohr magnetons per cell. As for the volume: 17.50 Å³/atom.

---

# 8
Li2Mg3In8 after structural relaxation. Source: Alexandria via LeMat-Bulk, functional PBE-GGA. Values from VASP.

```
&SYSTEM
  ibrav = 0, nat = 13, ntyp = 3
/
ATOMIC_SPECIES
Li 6.94 Li.upf
Mg 24.30 Mg.upf
In 114.82 In.upf
CELL_PARAMETERS angstrom
8.374 0.000 0.000
0.000 4.841 0.000
-3.192 0.000 7.851
ATOMIC_POSITIONS angstrom
Li 1.185 0.000 2.032
Li 3.996 0.000 5.819
Mg -1.596 0.000 3.926
Mg -0.304 2.420 5.886
Mg 5.485 2.420 1.965
In -1.775 0.000 7.085
In 0.053 2.420 2.828
In 2.586 2.420 1.064
In 1.348 0.000 4.953
In 3.834 0.000 2.898
In 2.596 2.420 6.787
In 5.129 2.420 5.023
In 6.957 0.000 0.766
```

Summary:
As for the energy above the most stable polymorph in this dataset: 0.0 kJ per mole of atoms. The energy of formation is -0.069 eV per atom. The total magnetization is 0.00 Bohr magnetons per cell. As for the volume: 24.48 Å³/atom.

---

# 9
Dy9TmSc2 after structural relaxation. Source: Alexandria via LeMat-Bulk, functional PBE-GGA. Values from VASP.

```
&SYSTEM
  ibrav = 0, nat = 12, ntyp = 3
/
ATOMIC_SPECIES
Dy 162.50 Dy.upf
Tm 168.93 Tm.upf
Sc 44.96 Sc.upf
CELL_PARAMETERS angstrom
11.011 0.000 0.000
-5.505 9.536 0.000
0.000 0.000 3.448
ATOMIC_POSITIONS angstrom
Dy -2.753 4.768 0.000
Dy 0.000 3.396 1.724
Dy -2.564 7.837 1.724
Dy 2.941 1.698 1.724
Dy 5.505 0.000 0.000
Dy 2.753 4.768 0.000
Dy 2.564 7.837 1.724
Dy 8.070 1.698 1.724
Dy 5.505 6.139 1.724
Tm 0.000 0.000 0.000
Sc 0.000 6.357 0.000
Sc 5.505 3.179 0.000
```

Summary:
As for the energy above the most stable polymorph in this dataset: 1.4 kJ per mole of atoms. The energy of formation is 0.050 eV per atom. The total magnetization is 0.00 Bohr magnetons per cell. As for the volume: 30.17 Å³/atom.

---

# 10
YBeAs3 after structural relaxation. Source: Alexandria via LeMat-Bulk, functional PBE-GGA. Values from VASP.

```
&SYSTEM
  ibrav = 0, nat = 5, ntyp = 3
/
ATOMIC_SPECIES
Y 88.91 Y.upf
Be 9.01 Be.upf
As 74.92 As.upf
CELL_PARAMETERS angstrom
5.385 0.000 0.000
0.000 5.385 0.000
0.000 0.000 5.385
ATOMIC_POSITIONS angstrom
Y 0.000 0.000 0.000
Be 2.692 2.692 2.692
As 0.000 0.000 2.692
As 0.000 2.692 0.000
As 2.692 0.000 0.000
```

Summary:
As for the energy above the most stable polymorph in this dataset: 105.1 kJ per mole of atoms. The energy of formation is 0.951 eV per atom. The total magnetization is 0.00 Bohr magnetons per cell. As for the volume: 31.23 Å³/atom.

---

# 11
LaNdDy2Hg4 after structural relaxation. Source: Alexandria via LeMat-Bulk, functional PBE-GGA. Values from VASP.

```
&SYSTEM
  ibrav = 0, nat = 8, ntyp = 4
/
ATOMIC_SPECIES
La 138.91 La.upf
Nd 144.24 Nd.upf
Dy 162.50 Dy.upf
Hg 200.59 Hg.upf
CELL_PARAMETERS angstrom
2.690 1.553 8.786
-2.690 1.553 8.786
0.000 -3.106 8.786
ATOMIC_POSITIONS angstrom
La 0.000 0.000 0.000
Nd 0.000 0.000 13.179
Dy 0.000 0.000 6.576
Dy 0.000 0.000 19.781
Hg 0.000 0.000 3.322
Hg 0.000 0.000 9.918
Hg 0.000 0.000 16.440
Hg 0.000 0.000 23.036
```

Summary:
The energy of formation is -0.469 eV per atom. The total magnetization is 1.21 Bohr magnetons per cell. As for the volume: 27.52 Å³/atom.